# MgTaRhO6, optimized geometry, DFT PBE
# - Space group: P4_2nm
# - Crystal system: tetragonal
# - Total energy: -134.96 eV/cell
data_MgTaRhO6
_chemical_formula_sum 'Mg2 Ta2 Rh2 O12'
_cell_length_a 4.7242
_cell_length_b 4.7242
_cell_length_c 9.2371
_cell_angle_alpha 90.00
_cell_angle_beta 90.00
_cell_angle_gamma 90.00
_symmetry_space_group_name_H-M 'P 1'
_symmetry_Int_Tables_number 1
loop_
_symmetry_equiv_pos_as_xyz
'x,y,z'
loop_
_atom_site_label
_atom_site_type_symbol
_atom_site_fract_x
_atom_site_fract_y
_atom_site_fract_z
Mg1 Mg 0.5000 0.5000 0.5017
Mg2 Mg 0.0000 0.0000 0.0017
Ta1 Ta 0.5000 0.5000 0.1686
Ta2 Ta 0.0000 0.0000 0.6686
Rh1 Rh 0.5000 0.5000 0.8323
Rh2 Rh 0.0000 0.0000 0.3323
O1 O 0.1897 0.8103 0.4998
O2 O 0.8103 0.1897 0.4998
O3 O 0.3103 0.3103 0.9998
O4 O 0.6897 0.6897 0.9998
O5 O 0.2005 0.7995 0.1745
O6 O 0.7995 0.2005 0.1745
O7 O 0.2995 0.2995 0.6745
O8 O 0.7005 0.7005 0.6745
O9 O 0.7947 0.2053 0.8244
O10 O 0.2053 0.7947 0.8244
O11 O 0.7053 0.7053 0.3244
O12 O 0.2947 0.2947 0.3244